Record 1
CaSi2Ni: single point on PBEsol structure, SCAN.

Cell: 4.4591 4.4478 4.4591 Å, 59.92 90.00 120.08°
Positions (direct):
Ni 0.0000 0.0000 0.0000
Ca 0.5000 0.0000 0.5000
Si 0.2500 0.5000 0.2500
Si 0.7500 0.5000 0.7500

Calculated values
Formation energy without anion corrections = 0.17 eV/atom



Record 2
TaCoBr2: single point on PBEsol structure, SCAN.

Cell: 3.2403 3.8381 7.2471 Å, 91.58 102.92 90.00°
Positions (direct):
Br 0.1431 0.2047 0.2861
Br 0.8569 0.7953 0.7139
Ta 0.5000 0.0000 0.0000
Co 0.0000 0.5000 0.0000

Calculated values
Formation energy without anion corrections = 0.02 eV/atom



Record 3
LaMoRu: single point on PBEsol structure, SCAN.

Cell: 3.0846 3.8364 5.8999 Å, 108.97 105.15 90.00°
Positions (direct):
La 0.9984 0.9984 0.9968
Mo 0.7280 0.7280 0.4561
Ru 0.2736 0.2736 0.5472

Calculated values
Formation energy = 0.275 eV per atom



Record 4
K3BiPCO7: single point on PBEsol structure, SCAN.

Cell: 6.2479 7.1530 10.2802 Å, 90.00 104.35 90.00°
Each line ends with the local moment (μB).
Positions (direct):
O 0.2380 0.4240 0.2976  0.02
O 0.7620 0.9240 0.7024  0.02
O 0.5614 0.7500 0.1251  0.05
O 0.8091 0.2500 0.9129  -0.01
O 0.5702 0.2500 0.4379  0.00
O 0.3468 0.7500 0.9127  0.00
O 0.4386 0.2500 0.8749  0.05
O 0.2380 0.0760 0.2976  0.02
O 0.2020 0.2500 0.5083  0.03
O 0.6532 0.2500 0.0873  0.00
O 0.7980 0.7500 0.4917  0.03
O 0.4298 0.7500 0.5621  0.00
O 0.1909 0.7500 0.0871  -0.01
O 0.7620 0.5760 0.7024  0.02
Bi 0.2914 0.7500 0.3211  0.53
Bi 0.7086 0.2500 0.6789  0.53
C 0.6299 0.2500 0.9602  0.00
C 0.3701 0.7500 0.0398  0.00
K 0.7925 0.7500 0.9366  0.00
K 0.7810 0.0141 0.3020  0.01
K 0.2190 0.9859 0.6980  0.01
K 0.2075 0.2500 0.0634  0.00
K 0.7810 0.4859 0.3020  0.01
K 0.2190 0.5141 0.6980  0.01
P 0.6880 0.7500 0.6092  0.00
P 0.3120 0.2500 0.3908  0.00

Calculated values
Formation energy without anion corrections = -1.95 eV/atom



Record 5
Li10SiP2S12: single point on PBEsol structure, SCAN.

Cell: 8.6704 8.6704 12.3361 Å, 90.00 90.00 90.00°
Positions (direct):
S 0.6960 0.0000 0.9120
S 0.5000 0.2969 0.3972
S 0.0000 0.1948 0.7829
S 0.1918 0.5000 0.6013
S 0.0000 0.8052 0.7829
S 0.8052 0.0000 0.2829
S 0.1983 0.0000 0.5983
S 0.8082 0.5000 0.6013
S 0.7012 0.5000 0.1970
S 0.0000 0.1983 0.0983
S 0.1948 0.0000 0.2829
S 0.5000 0.7031 0.3972
S 0.2969 0.5000 0.8972
S 0.5000 0.1918 0.1013
S 0.0000 0.3040 0.4120
S 0.5000 0.7012 0.6970
S 0.5000 0.8082 0.1013
S 0.3040 0.0000 0.9120
S 0.7031 0.5000 0.8972
S 0.5000 0.2988 0.6970
S 0.0000 0.6960 0.4120
S 0.8017 0.0000 0.5983
S 0.2988 0.5000 0.1970
S 0.0000 0.8017 0.0983
Li 0.7429 0.7264 0.0340
Li 0.2334 0.2730 0.2926
Li 0.7264 0.2571 0.5340
Li 0.2571 0.7264 0.0340
Li 0.7666 0.2730 0.2926
Li 0.5000 0.5000 0.5456
Li 0.0000 0.0000 0.4437
Li 0.2730 0.2334 0.7926
Li 0.0000 0.0000 0.9437
Li 0.7666 0.7270 0.2926
Li 0.5000 0.5000 0.0456
Li 0.2730 0.7666 0.7926
Li 0.2736 0.7429 0.5340
Li 0.7429 0.2736 0.0340
Li 0.2334 0.7270 0.2926
Li 0.7270 0.7666 0.7926
Li 0.2736 0.2571 0.5340
Li 0.2571 0.2736 0.0340
Li 0.7264 0.7429 0.5340
Li 0.7270 0.2334 0.7926
Si 0.5000 0.5000 0.7972
Si 0.5000 0.5000 0.2972
P 0.0000 0.0000 0.1905
P 0.0000 0.0000 0.6905
P 0.5000 0.0000 0.0064
P 0.0000 0.5000 0.5064

Calculated values
Formation energy without anion corrections = -1.14 eV/atom



Record 6
ScSbI3: single point on PBEsol structure, SCAN.

Cell: 5.9423 5.9423 5.9423 Å, 90.00 90.00 90.00°
Each line ends with the local moment (μB).
Positions (direct):
I 0.5000 0.0000 0.0000  0.00
I 0.0000 0.0000 0.5000  0.00
I 0.0000 0.5000 0.0000  0.00
Sb 0.0000 0.0000 0.0000  0.01
Sc 0.5000 0.5000 0.5000  1.25

Calculated values
Formation energy without anion corrections = 0.22 eV/atom



Record 7
NaNb3S: single point on PBEsol structure, SCAN.

Cell: 4.6302 4.6302 4.6302 Å, 90.00 90.00 90.00°
Positions (direct):
Nb 0.5000 0.0000 0.0000
Nb 0.0000 0.5000 0.0000
Nb 0.0000 0.0000 0.5000
S 0.0000 0.0000 0.0000
Na 0.5000 0.5000 0.5000

Calculated values
Formation energy without anion corrections = 0.40 eV/atom



Record 8
V6O13: single point on PBEsol structure, SCAN.

Cell: 3.6667 6.1769 10.0407 Å, 100.23 90.00 107.27°
Each line ends with the local moment (μB).
Positions (direct):
V 0.7101 0.4203 0.3634  0.75
V 0.2899 0.5797 0.6366  0.75
V 0.5893 0.1786 0.6352  0.63
V 0.4107 0.8214 0.3648  0.63
V 0.3523 0.7046 0.0032  0.99
V 0.6477 0.2954 0.9968  0.99
O 0.8797 0.7595 0.3865  -0.02
O 0.3228 0.6456 0.8031  -0.09
O 0.1203 0.2405 0.6135  -0.02
O 0.8211 0.6423 0.9994  -0.08
O 0.1789 0.3577 0.0006  -0.08
O 0.7541 0.5081 0.5948  -0.01
O 0.6772 0.3544 0.1969  -0.09
O 0.6150 0.2299 0.8044  -0.09
O 0.4353 0.8707 0.5912  -0.09
O 0.5647 0.1293 0.4088  -0.09
O 0.5000 0.0000 0.0000  -0.15
O 0.2459 0.4919 0.4052  -0.01
O 0.3850 0.7701 0.1956  -0.09

Calculated values
Formation energy without anion corrections = -2.60 eV/atom



Record 9
ReBiSeBr2: single point on PBEsol structure, SCAN.

Cell: 5.5303 5.5953 5.5953 Å, 90.00 90.00 90.00°
Each line ends with the local moment (μB).
Positions (direct):
Br 0.0000 0.0000 0.5000  0.04
Br 0.0000 0.5000 0.0000  0.04
Bi 0.0000 0.0000 0.0000  0.05
Se 0.5000 0.0000 0.0000  0.09
Re 0.5000 0.5000 0.5000  4.22

Calculated values
Formation energy without anion corrections = 1.13 eV/atom



Record 10
CaV4O9: single point on PBEsol structure, SCAN.

Cell: 5.0121 8.2478 8.2478 Å, 90.00 90.00 90.00°
Each line ends with the local moment (μB).
Positions (direct):
O 0.4661 0.7925 0.3929  0.01
O 0.4661 0.2075 0.6071  0.01
O 0.0536 0.5719 0.2495  -0.10
O 0.5339 0.3929 0.2075  0.01
O 0.9464 0.0719 0.7495  -0.10
O 0.4661 0.8929 0.7075  0.01
O 0.5339 0.7075 0.1071  0.01
O 0.5000 0.5000 0.5000  0.01
O 0.0536 0.2505 0.0719  -0.10
O 0.4661 0.1071 0.2925  0.01
O 0.5000 0.0000 0.0000  0.01
O 0.9464 0.2495 0.4281  -0.10
O 0.9464 0.7505 0.5719  -0.10
O 0.5339 0.6071 0.7925  0.01
O 0.0536 0.4281 0.7505  -0.10
O 0.9464 0.9281 0.2505  -0.10
O 0.0536 0.7495 0.9281  -0.10
O 0.5339 0.2925 0.8929  0.01
V 0.6303 0.2859 0.4092  1.04
V 0.3697 0.5908 0.2859  1.04
V 0.6303 0.7141 0.5908  1.04
V 0.3697 0.7859 0.9092  1.04
V 0.3697 0.4092 0.7141  1.04
V 0.6303 0.9092 0.2141  1.04
V 0.6303 0.0908 0.7859  1.04
V 0.3697 0.2141 0.0908  1.04
Ca 0.8394 0.5000 0.0000  0.00
Ca 0.1606 0.0000 0.5000  0.00

Calculated values
Formation energy without anion corrections = -2.79 eV/atom



Record 11
NiOsRu3: single point on PBEsol structure, SCAN.

Cell: 4.2473 4.2473 4.2473 Å, 90.00 90.00 90.00°
Each line ends with the local moment (μB).
Positions (direct):
Ru 0.0000 0.0000 0.5000  0.72
Ru 0.0000 0.5000 0.0000  0.72
Ru 0.5000 0.0000 0.0000  0.72
Os 0.5000 0.5000 0.5000  -1.28
Ni 0.0000 0.0000 0.0000  0.72

Calculated values
Formation energy = 1.872 eV per atom



Record 12
BaHgSe: single point on PBEsol structure, SCAN.

Cell: 4.7738 4.7738 5.0199 Å, 90.00 90.00 120.00°
Positions (direct):
Hg 0.3333 0.6667 0.6270
Se 0.6667 0.3333 0.3497
Ba 0.0000 0.0000 0.0232

Calculated values
Formation energy without anion corrections = -1.29 eV/atom